# 1
# TeRu2N (PBE, optimized geometry)
# energy relative to the elements, uncorrected	0.986	eV/atom
data_TeRu2N
_chemical_formula_sum 'Te1 Ru2 N1'
_symmetry_space_group_name_H-M 'P 1'
_symmetry_Int_Tables_number 1
_cell_length_a 4.3036
_cell_length_b 4.3036
_cell_length_c 4.3036
_cell_angle_alpha 60.00
_cell_angle_beta 60.00
_cell_angle_gamma 60.00
loop_
_symmetry_equiv_pos_as_xyz
'x,y,z'
loop_
_atom_site_label
_atom_site_fract_x
_atom_site_fract_y
_atom_site_fract_z
_atom_site_occupancy
Te1 0.0000 0.0000 0.0000 1
Ru1 0.2500 0.2500 0.2500 1
Ru2 0.7500 0.7500 0.7500 1
N1 0.5000 0.5000 0.5000 1



# 2
# TeRuN2 (PBE, optimized geometry)
# energy relative to the elements, uncorrected	0.857	eV/atom
data_TeRuN2
_chemical_formula_sum 'Te2 Ru2 N4'
_symmetry_space_group_name_H-M 'P 1'
_symmetry_Int_Tables_number 1
_cell_length_a 5.7787
_cell_length_b 5.7787
_cell_length_c 5.7787
_cell_angle_alpha 124.11
_cell_angle_beta 124.11
_cell_angle_gamma 83.02
loop_
_symmetry_equiv_pos_as_xyz
'x,y,z'
loop_
_atom_site_label
_atom_site_fract_x
_atom_site_fract_y
_atom_site_fract_z
_atom_site_occupancy
Te1 0.0000 0.0000 0.0000 1
Te2 0.7500 0.2500 0.5000 1
Ru1 0.2500 0.7500 0.5000 1
Ru2 0.5000 0.5000 0.0000 1
N1 0.2279 0.6250 0.1029 1
N2 0.3750 0.4779 0.6029 1
N3 0.5221 0.1250 0.8971 1
N4 0.8750 0.7721 0.3971 1



# 3
# TeRuN (PBE, optimized geometry)
# energy relative to the elements, uncorrected	0.117	eV/atom
data_TeRuN
_chemical_formula_sum 'Te2 Ru2 N2'
_symmetry_space_group_name_H-M 'P 1'
_symmetry_Int_Tables_number 1
_cell_length_a 3.5775
_cell_length_b 3.5775
_cell_length_c 12.1619
_cell_angle_alpha 90.48
_cell_angle_beta 90.48
_cell_angle_gamma 90.00
loop_
_symmetry_equiv_pos_as_xyz
'x,y,z'
loop_
_atom_site_label
_atom_site_fract_x
_atom_site_fract_y
_atom_site_fract_z
_atom_site_occupancy
Te1 0.2456 0.2456 0.3506 1
Te2 0.7544 0.7544 0.6494 1
Ru1 0.2520 0.2520 0.5647 1
Ru2 0.7480 0.7480 0.4353 1
N1 0.0593 0.0593 0.9617 1
N2 0.9407 0.9407 0.0383 1



# 4
# TeRu3N (PBE, optimized geometry)
# energy relative to the elements, uncorrected	2.683	eV/atom
data_TeRu3N
_chemical_formula_sum 'Te1 Ru3 N1'
_symmetry_space_group_name_H-M 'P 1'
_symmetry_Int_Tables_number 1
_cell_length_a 4.8815
_cell_length_b 4.8815
_cell_length_c 4.8815
_cell_angle_alpha 90.00
_cell_angle_beta 90.00
_cell_angle_gamma 90.00
loop_
_symmetry_equiv_pos_as_xyz
'x,y,z'
loop_
_atom_site_label
_atom_site_fract_x
_atom_site_fract_y
_atom_site_fract_z
_atom_site_occupancy
Te1 0.0000 0.0000 0.0000 1
Ru1 0.0000 0.0000 0.5000 1
Ru2 0.0000 0.5000 0.0000 1
Ru3 0.5000 0.0000 0.0000 1
N1 0.5000 0.5000 0.5000 1



# 5
# TeRu2N (PBE, optimized geometry)
# energy relative to the elements, uncorrected	0.202	eV/atom
data_TeRu2N
_chemical_formula_sum 'Te2 Ru4 N2'
_symmetry_space_group_name_H-M 'P 1'
_symmetry_Int_Tables_number 1
_cell_length_a 6.3888
_cell_length_b 6.3888
_cell_length_c 6.3888
_cell_angle_alpha 132.98
_cell_angle_beta 132.98
_cell_angle_gamma 68.69
loop_
_symmetry_equiv_pos_as_xyz
'x,y,z'
loop_
_atom_site_label
_atom_site_fract_x
_atom_site_fract_y
_atom_site_fract_z
_atom_site_occupancy
Te1 0.0000 0.0000 0.0000 1
Te2 0.7500 0.2500 0.5000 1
Ru1 0.2362 0.6250 0.1112 1
Ru2 0.3750 0.4862 0.6112 1
Ru3 0.5138 0.1250 0.8888 1
Ru4 0.8750 0.7638 0.3888 1
N1 0.2500 0.7500 0.5000 1
N2 0.5000 0.5000 0.0000 1



# 6
# TiTe2RuN (PBE, optimized geometry)
# energy relative to the elements, uncorrected	0.287	eV/atom
data_TiTe2RuN
_chemical_formula_sum 'Ti1 Te2 Ru1 N1'
_symmetry_space_group_name_H-M 'P 1'
_symmetry_Int_Tables_number 1
_cell_length_a 5.4187
_cell_length_b 5.4187
_cell_length_c 3.6493
_cell_angle_alpha 90.00
_cell_angle_beta 90.00
_cell_angle_gamma 90.00
loop_
_symmetry_equiv_pos_as_xyz
'x,y,z'
loop_
_atom_site_label
_atom_site_fract_x
_atom_site_fract_y
_atom_site_fract_z
_atom_site_occupancy
Ti1 0.0000 0.0000 0.0000 1
Te1 0.0000 0.5000 0.5000 1
Te2 0.5000 0.0000 0.5000 1
Ru1 0.5000 0.5000 0.5000 1
N1 0.5000 0.5000 0.0000 1



# 7
# TiTe2RuN (PBE, optimized geometry)
# energy relative to the elements, uncorrected	0.527	eV/atom
data_TiTe2RuN
_chemical_formula_sum 'Ti1 Te2 Ru1 N1'
_symmetry_space_group_name_H-M 'P 1'
_symmetry_Int_Tables_number 1
_cell_length_a 5.4173
_cell_length_b 5.4173
_cell_length_c 3.6383
_cell_angle_alpha 90.00
_cell_angle_beta 90.00
_cell_angle_gamma 90.00
loop_
_symmetry_equiv_pos_as_xyz
'x,y,z'
loop_
_atom_site_label
_atom_site_fract_x
_atom_site_fract_y
_atom_site_fract_z
_atom_site_occupancy
Ti1 0.0000 0.0000 0.0000 1
Te1 0.0000 0.5000 0.0000 1
Te2 0.5000 0.0000 0.0000 1
Ru1 0.5000 0.5000 0.5000 1
N1 0.0000 0.0000 0.5000 1



# 8
# TlTe2RuN (PBE, optimized geometry)
# energy relative to the elements, uncorrected	0.192	eV/atom
data_TlTe2RuN
_chemical_formula_sum 'Tl1 Te2 Ru1 N1'
_symmetry_space_group_name_H-M 'P 1'
_symmetry_Int_Tables_number 1
_cell_length_a 5.6758
_cell_length_b 5.6758
_cell_length_c 3.6680
_cell_angle_alpha 90.00
_cell_angle_beta 90.00
_cell_angle_gamma 90.00
loop_
_symmetry_equiv_pos_as_xyz
'x,y,z'
loop_
_atom_site_label
_atom_site_fract_x
_atom_site_fract_y
_atom_site_fract_z
_atom_site_occupancy
Tl1 0.0000 0.0000 0.0000 1
Te1 0.0000 0.5000 0.5000 1
Te2 0.5000 0.0000 0.5000 1
Ru1 0.5000 0.5000 0.5000 1
N1 0.5000 0.5000 0.0000 1



# 9
# TlTe2RuN (PBE, optimized geometry)
# energy relative to the elements, uncorrected	1.824	eV/atom
data_TlTe2RuN
_chemical_formula_sum 'Tl1 Te2 Ru1 N1'
_symmetry_space_group_name_H-M 'P 1'
_symmetry_Int_Tables_number 1
_cell_length_a 5.8265
_cell_length_b 5.8265
_cell_length_c 4.0763
_cell_angle_alpha 90.00
_cell_angle_beta 90.00
_cell_angle_gamma 90.00
loop_
_symmetry_equiv_pos_as_xyz
'x,y,z'
loop_
_atom_site_label
_atom_site_fract_x
_atom_site_fract_y
_atom_site_fract_z
_atom_site_occupancy
Tl1 0.0000 0.0000 0.0000 1
Te1 0.0000 0.5000 0.0000 1
Te2 0.5000 0.0000 0.0000 1
Ru1 0.5000 0.5000 0.5000 1
N1 0.0000 0.0000 0.5000 1



# 10
# VTe2RuN (PBE, optimized geometry)
# energy relative to the elements, uncorrected	0.460	eV/atom
data_VTe2RuN
_chemical_formula_sum 'V1 Te2 Ru1 N1'
_symmetry_space_group_name_H-M 'P 1'
_symmetry_Int_Tables_number 1
_cell_length_a 5.4169
_cell_length_b 5.4169
_cell_length_c 3.6318
_cell_angle_alpha 90.00
_cell_angle_beta 90.00
_cell_angle_gamma 90.00
loop_
_symmetry_equiv_pos_as_xyz
'x,y,z'
loop_
_atom_site_label
_atom_site_fract_x
_atom_site_fract_y
_atom_site_fract_z
_atom_site_occupancy
V1 0.0000 0.0000 0.0000 1
Te1 0.0000 0.5000 0.5000 1
Te2 0.5000 0.0000 0.5000 1
Ru1 0.5000 0.5000 0.5000 1
N1 0.5000 0.5000 0.0000 1



# 11
# VTeRuN2 (PBE, optimized geometry)
# energy relative to the elements, uncorrected	1.078	eV/atom
data_VTeRuN2
_chemical_formula_sum 'V1 Te1 Ru1 N2'
_symmetry_space_group_name_H-M 'P 1'
_symmetry_Int_Tables_number 1
_cell_length_a 3.8322
_cell_length_b 3.8322
_cell_length_c 5.7151
_cell_angle_alpha 90.00
_cell_angle_beta 90.00
_cell_angle_gamma 90.00
loop_
_symmetry_equiv_pos_as_xyz
'x,y,z'
loop_
_atom_site_label
_atom_site_fract_x
_atom_site_fract_y
_atom_site_fract_z
_atom_site_occupancy
V1 0.0000 0.0000 0.0000 1
Te1 0.5000 0.5000 0.0000 1
Ru1 0.5000 0.5000 0.5000 1
N1 0.0000 0.5000 0.5000 1
N2 0.5000 0.0000 0.5000 1



# 12
# VTe2RuN (PBE, optimized geometry)
# energy relative to the elements, uncorrected	0.554	eV/atom
data_VTe2RuN
_chemical_formula_sum 'V1 Te2 Ru1 N1'
_symmetry_space_group_name_H-M 'P 1'
_symmetry_Int_Tables_number 1
_cell_length_a 5.2664
_cell_length_b 5.2664
_cell_length_c 3.5527
_cell_angle_alpha 90.00
_cell_angle_beta 90.00
_cell_angle_gamma 90.00
loop_
_symmetry_equiv_pos_as_xyz
'x,y,z'
loop_
_atom_site_label
_atom_site_fract_x
_atom_site_fract_y
_atom_site_fract_z
_atom_site_occupancy
V1 0.0000 0.0000 0.0000 1
Te1 0.0000 0.5000 0.0000 1
Te2 0.5000 0.0000 0.0000 1
Ru1 0.5000 0.5000 0.5000 1
N1 0.0000 0.0000 0.5000 1



# 13
# VTeRuN2 (PBE, optimized geometry)
# energy relative to the elements, uncorrected	0.817	eV/atom
data_VTeRuN2
_chemical_formula_sum 'V1 Te1 Ru1 N2'
_symmetry_space_group_name_H-M 'P 1'
_symmetry_Int_Tables_number 1
_cell_length_a 3.7624
_cell_length_b 3.7624
_cell_length_c 5.7038
_cell_angle_alpha 90.00
_cell_angle_beta 90.00
_cell_angle_gamma 90.00
loop_
_symmetry_equiv_pos_as_xyz
'x,y,z'
loop_
_atom_site_label
_atom_site_fract_x
_atom_site_fract_y
_atom_site_fract_z
_atom_site_occupancy
V1 0.0000 0.0000 0.0000 1
Te1 0.0000 0.0000 0.5000 1
Ru1 0.5000 0.5000 0.5000 1
N1 0.0000 0.5000 0.0000 1
N2 0.5000 0.0000 0.0000 1